Density functional theory data (PBE-GGA) for a relaxed structure of Mg2ZnCu.

Lattice parameters (Å, degrees): 7.3157 7.3157 5.8950 51.65 51.65 90.00
Positions (direct):
Zn  0.0000  0.0000  0.0000
Zn  0.7500  0.2500  0.5000
Mg  0.6066  0.1250  0.2500
Mg  0.1434  0.6250  0.2500
Mg  0.3750  0.3934  0.7500
Mg  0.8750  0.8566  0.7500
Cu  0.5000  0.5000  0.0000
Cu  0.2500  0.7500  0.5000

Energy of formation from the pure elements: 0.8 eV/f.u.
Space-group type: I-42d (122)
Total DFT energy (no corrections): -1.931 eV/atom

***

Density functional theory data (PBE-GGA) for a relaxed structure of InAs2Pd7Pb2.

Lattice parameters (Å, degrees): 4.0382 4.0382 14.4859 85.64 85.64 89.85
Positions (direct):
In  0.0000  0.0000  0.0000
As  0.5688  0.5688  0.7565
As  0.4312  0.4312  0.2435
Pd  0.5000  0.5000  0.0000
Pd  0.3950  0.3950  0.4170
Pd  0.6050  0.6050  0.5830
Pd  0.9581  0.4587  0.1434
Pd  0.4587  0.9581  0.1434
Pd  0.5413  0.0419  0.8566
Pd  0.0419  0.5413  0.8566
Pb  0.8893  0.8893  0.3953
Pb  0.1107  0.1107  0.6047

Energy of formation from the pure elements: -4.0 eV/f.u.
Space-group type: C2/m (12)
Total DFT energy (no corrections): -4.983 eV/atom

***

Density functional theory data (PBE-GGA) for a relaxed structure of TlGa2Ir2.

Lattice parameters (Å, degrees): 7.5347 7.5347 2.9593 90.00 90.00 90.00
Positions (direct):
Tl  0.0000  0.0000  0.0000
Tl  0.5000  0.5000  0.0000
Ir  0.3508  0.8508  0.0000
Ir  0.8508  0.6492  0.0000
Ir  0.6492  0.1492  0.0000
Ir  0.1492  0.3508  0.0000
Ga  0.1444  0.6444  0.5000
Ga  0.6444  0.8556  0.5000
Ga  0.8556  0.3556  0.5000
Ga  0.3556  0.1444  0.5000

Relative energy among the computed polymorphs: 0.00 eV per formula unit
Energy of formation from the pure elements: -0.8 eV/f.u.
Space-group type: P4/mbm (127)
Total DFT energy (no corrections): -5.384 eV/atom

***

Density functional theory data (PBE-GGA) for a relaxed structure of Pm4InHgO.

Lattice parameters (Å, degrees): 6.8025 6.8179 8.8616 90.00 112.57 90.00
Positions (direct):
Pm  0.9286  0.2500  0.8571
Pm  0.4195  0.7500  0.8389
Pm  0.0714  0.7500  0.1429
Pm  0.5805  0.2500  0.1611
Pm  0.5000  0.5000  0.5000
Pm  0.0000  0.0000  0.5000
Pm  0.5000  0.0000  0.5000
Pm  0.0000  0.5000  0.5000
In  0.6122  0.7500  0.2244
In  0.3878  0.2500  0.7756
Hg  0.1168  0.2500  0.2335
Hg  0.8832  0.7500  0.7665
O  0.2528  0.7500  0.5056
O  0.7472  0.2500  0.4944

Space-group type: Cmcm (63)
Total DFT energy (no corrections): -4.906 eV/atom

***

Density functional theory data (PBE-GGA) for a relaxed structure of ZrTl2PtC.

Lattice parameters (Å, degrees): 5.8474 4.9228 5.8474 90.00 90.00 90.00
Each line ends with the local moment (μB).
Positions (direct):
C  0.5000  0.5000  0.5000  0.95
Tl  0.0000  0.0000  0.5000  -0.06
Tl  0.5000  0.0000  0.0000  -0.07
Zr  0.0000  0.0000  0.0000  -0.57
Pt  0.0000  0.5000  0.0000  -0.05

Energy of formation from the pure elements: 9.2 eV/f.u.
Space-group type: P4/mmm (123)
Total DFT energy (no corrections): -3.870 eV/atom

***

Density functional theory data (PBE-GGA) for a relaxed structure of Er3ScCo8.

Lattice parameters (Å, degrees): 4.9968 4.9968 8.6660 73.24 73.24 60.00
Each line ends with the local moment (μB).
Positions (direct):
Er  0.3752  0.3752  0.8743  -0.38
Er  0.9984  0.9984  0.0048  -0.38
Er  0.5013  0.5013  0.4960  -0.38
Sc  0.8746  0.8746  0.3762  -0.30
Co  0.9351  0.4369  0.1911  1.12
Co  0.4409  0.9377  0.6838  1.15
Co  0.4369  0.4369  0.1911  1.12
Co  0.9377  0.9377  0.6838  1.15
Co  0.1879  0.1879  0.4363  1.17
Co  0.6874  0.6874  0.9378  1.10
Co  0.4369  0.9351  0.1911  1.12
Co  0.9377  0.4409  0.6838  1.15

Energy of formation from the pure elements: -3.2 eV/f.u.
Space-group type: R3m (160)
Total DFT energy (no corrections): -6.672 eV/atom

***

Density functional theory data (PBE-GGA) for a relaxed structure of CoHBrN.

Lattice parameters (Å, degrees): 3.1284 3.1303 8.2478 81.28 79.96 60.59
Positions (direct):
Co  0.4849  0.9779  0.7909
H  0.7668  0.6178  0.1839
Br  0.1145  0.2102  0.2841
N  0.1426  0.6386  0.8146

Relative energy among the computed polymorphs: 1.50 eV per formula unit
Space-group type: P1 (1)
Total DFT energy (no corrections): -4.673 eV/atom

***

Density functional theory data (PBE-GGA) for a relaxed structure of Er8Al2In.

Lattice parameters (Å, degrees): 5.4264 8.2932 8.2932 116.43 101.09 101.09
Positions (direct):
Er  0.8917  0.9118  0.6700
Er  0.8917  0.6700  0.9118
Er  0.3007  0.6048  0.6048
Er  0.5000  0.7764  0.2236
Er  0.5000  0.2236  0.7764
Er  0.6993  0.3952  0.3952
Er  0.1083  0.3300  0.0882
Er  0.1083  0.0882  0.3300
Al  0.0000  0.3058  0.6942
Al  0.0000  0.6942  0.3058
In  0.5000  0.0000  0.0000

Relative energy among the computed polymorphs: 0.70 eV per formula unit
Energy of formation from the pure elements: -1.3 eV/f.u.
Space-group type: C2/m (12)
Total DFT energy (no corrections): -4.364 eV/atom